# 1
{"formula": "Zn4Ag2Pd", "functional": "PBE-GGA", "state": "optimized geometry", "delta_e_f_mev_per_atom": -125.7, "dos_at_fermi_per_ev_cell": 1.8, "total_magnetization_mub_per_fu": 0.00, "spacegroup": "No. 10", "lattice_angstrom": [[2.997, 0.000, 0.000], [0.000, 6.938, -0.233], [0.000, -3.288, 5.535]], "species": ["Zn", "Zn", "Zn", "Zn", "Ag", "Ag", "Pd"], "frac_coords": [[0.500, 0.809, 0.682], [0.000, 0.529, 0.273], [0.500, 0.334, 0.461], [0.000, 0.614, 0.870], [0.500, 0.265, 0.839], [0.500, 0.878, 0.304], [0.000, 0.071, 0.071]]}



# 2
{"formula": "Nd2H10Ru3", "functional": "PBE-GGA", "state": "optimized geometry", "e_tot_ev_per_atom": -5.018, "dos_at_fermi_per_ev_cell": 10.9, "total_magnetization_mub_per_fu": 0.00, "spacegroup": "No. 12", "lattice_angstrom": [[-1.158, -3.800, 3.487], [6.996, -2.522, -0.425], [-0.258, 7.252, 3.810]], "species": ["Nd", "Nd", "Nd", "Nd", "H", "H", "H", "H", "H", "H", "H", "H", "H", "H", "H", "H", "H", "H", "H", "H", "H", "H", "H", "H", "Ru", "Ru", "Ru", "Ru", "Ru", "Ru"], "frac_coords": [[0.696, 0.279, 0.393], [0.304, 0.721, 0.607], [0.604, 0.731, 0.209], [0.396, 0.269, 0.791], [0.624, 0.995, 0.776], [0.153, 0.995, 0.776], [0.376, 0.005, 0.224], [0.847, 0.005, 0.224], [0.596, 0.495, 0.664], [0.069, 0.495, 0.664], [0.404, 0.505, 0.336], [0.931, 0.505, 0.336], [0.961, 0.793, 0.923], [0.039, 0.207, 0.077], [0.867, 0.263, 0.733], [0.133, 0.737, 0.267], [0.773, 0.753, 0.547], [0.227, 0.247, 0.453], [0.473, 0.835, 0.946], [0.527, 0.165, 0.054], [0.783, 0.500, 0.000], [0.217, 0.500, 0.000], [0.500, 0.000, 0.500], [0.000, 0.000, 0.500], [0.911, 0.518, 0.822], [0.089, 0.482, 0.178], [0.819, 0.998, 0.638], [0.181, 0.002, 0.362], [0.765, 0.000, 0.000], [0.235, 0.000, 0.000]]}



# 3
{"formula": "AlGaHg", "functional": "PBE-GGA", "state": "optimized geometry", "delta_e_f_mev_per_atom": 102.4, "dos_at_fermi_per_ev_cell": 2.1, "total_magnetization_mub_per_fu": 0.00, "spacegroup": "No. 1", "lattice_angstrom": [[-6.581, 0.932, -2.396], [-0.627, -2.357, -1.951], [-5.098, -5.082, 1.943]], "species": ["Hg", "Hg", "Ga", "Ga", "Al", "Al"], "frac_coords": [[0.249, 0.802, 0.551], [0.101, 0.514, 0.128], [0.636, 0.139, 0.621], [0.878, 0.266, 0.806], [0.698, 0.022, 0.257], [0.471, 0.876, 0.060]]}



# 4
{"formula": "U3Ge4Rh7", "functional": "PBE-GGA", "state": "optimized geometry", "delta_e_f_mev_per_atom": -615.9, "dos_at_fermi_per_ev_cell": 17.3, "total_magnetization_mub_per_fu": 4.06, "spacegroup": "No. 12", "lattice_angstrom": [[3.894, 0.000, 0.982], [1.436, 7.438, 2.516], [-0.004, -0.050, 8.223]], "species": ["U", "U", "U", "Ge", "Ge", "Ge", "Ge", "Rh", "Rh", "Rh", "Rh", "Rh", "Rh", "Rh"], "frac_coords": [[0.325, 0.179, 0.171], [0.675, 0.821, 0.829], [0.000, 0.500, 0.500], [0.656, 0.454, 0.235], [0.344, 0.546, 0.765], [0.890, 0.881, 0.339], [0.110, 0.119, 0.661], [0.301, 0.848, 0.551], [0.494, 0.213, 0.798], [0.834, 0.390, 0.942], [0.699, 0.152, 0.449], [0.166, 0.610, 0.058], [0.000, 0.000, 0.000], [0.506, 0.787, 0.202]]}



# 5
{"formula": "LiY2Pd4", "functional": "PBE-GGA", "state": "optimized geometry", "delta_e_f_mev_per_atom": -558.1, "dos_at_fermi_per_ev_cell": 1.3, "total_magnetization_mub_per_fu": 0.00, "spacegroup": "No. 139", "lattice_angstrom": [[6.093, 0.009, -0.002], [0.001, 6.093, 0.002], [-3.046, -3.052, 3.932]], "species": ["Li", "Y", "Y", "Pd", "Pd", "Pd", "Pd"], "frac_coords": [[0.000, 0.000, 0.000], [0.750, 0.250, 0.500], [0.250, 0.750, 0.500], [0.721, 0.279, 0.000], [0.279, 0.721, 0.000], [0.279, 0.279, 0.000], [0.722, 0.722, 0.000]]}



# 6
{"formula": "Y3Ho2Mg", "functional": "PBE-GGA", "state": "optimized geometry", "delta_e_f_mev_per_atom": -15.2, "dos_at_fermi_per_ev_cell": 9.1, "total_magnetization_mub_per_fu": 0.00, "spacegroup": "No. 123", "lattice_angstrom": [[3.570, 0.000, 0.000], [0.000, 3.570, 0.000], [0.000, 0.000, 14.326]], "species": ["Y", "Y", "Y", "Ho", "Ho", "Mg"], "frac_coords": [[0.000, 0.000, 0.000], [0.000, 0.000, 0.653], [0.000, 0.000, 0.347], [0.500, 0.500, 0.825], [0.500, 0.500, 0.175], [0.500, 0.500, 0.500]]}



# 7
{"formula": "CaAlSi2As", "functional": "PBE-GGA", "state": "optimized geometry", "dos_at_fermi_per_ev_cell": 3.1, "raw_formation_energy_ev_per_fu": 2.61, "total_magnetization_mub_per_fu": 0.00, "spacegroup": "No. 123", "lattice_angstrom": [[4.895, 0.000, 0.000], [0.000, 5.350, 0.000], [0.000, 0.000, 4.895]], "species": ["As", "Si", "Si", "Ca", "Al"], "frac_coords": [[0.000, 0.000, 0.000], [0.000, 0.000, 0.500], [0.500, 0.000, 0.000], [0.000, 0.500, 0.000], [0.500, 0.500, 0.500]]}



# 8
{"formula": "Rb2CaS2O6", "functional": "PBE-GGA", "state": "optimized geometry", "dos_at_fermi_per_ev_cell": 0.0, "raw_formation_energy_ev_per_fu": -20.70, "total_magnetization_mub_per_fu": 0.00, "spacegroup": "No. 166", "lattice_angstrom": [[5.921, 0.000, 0.000], [2.960, 5.128, 0.000], [2.960, 1.709, 7.941]], "species": ["Rb", "Rb", "Ca", "S", "S", "O", "O", "O", "O", "O", "O"], "frac_coords": [[0.737, 0.737, 0.788], [0.263, 0.263, 0.212], [0.000, 0.000, 0.000], [0.413, 0.413, 0.761], [0.587, 0.587, 0.239], [0.752, 0.752, 0.161], [0.336, 0.752, 0.161], [0.752, 0.336, 0.161], [0.248, 0.664, 0.839], [0.664, 0.248, 0.839], [0.248, 0.248, 0.839]]}